Entry 1:
Crystalline ZnRe2Ni2 at its relaxed geometry, computed with PBE.

abc: 5.9823 5.9823 3.7301
angles: 90.00 90.00 90.00
Closest atoms and distances in Å follow each position.
Element x y z (fractional)
Re  0.1562  0.6562  0.5000  6 Ni 2.56, 1 Re 2.64
Re  0.6562  0.8438  0.5000  6 Ni 2.56, 1 Re 2.64
Re  0.8438  0.3438  0.5000  6 Ni 2.56, 1 Re 2.64
Re  0.3438  0.1562  0.5000  6 Ni 2.56, 1 Re 2.64
Zn  0.0000  0.0000  0.0000  4 Ni 2.32
Zn  0.5000  0.5000  0.0000  4 Ni 2.32
Ni  0.3626  0.8626  0.0000  2 Zn 2.32, 1 Ni 2.32, 6 Re 2.56
Ni  0.8626  0.6374  0.0000  2 Zn 2.32, 1 Ni 2.32, 6 Re 2.56
Ni  0.6374  0.1374  0.0000  2 Zn 2.32, 1 Ni 2.32, 6 Re 2.56
Ni  0.1374  0.3626  0.0000  2 Zn 2.32, 1 Ni 2.32, 6 Re 2.56

Entry 2:
Crystalline ZnReNi2 at its relaxed geometry, computed with PBE.

abc: 8.4906 8.4906 8.4906
angles: 18.14 18.14 18.14
Closest atoms and distances in Å follow each position.
Element x y z (fractional)
Ni  0.9982  0.9982  0.9982  9 Ni 2.51-2.68, 3 Zn 2.54
Ni  0.2523  0.2523  0.2523  9 Ni 2.51-2.68, 3 Re 2.56
Re  0.5043  0.5043  0.5043  3 Ni 2.56, 6 Re 2.68, 3 Zn 2.78
Zn  0.7452  0.7452  0.7452  3 Ni 2.54, 6 Zn 2.68, 3 Re 2.78

Entry 3:
Crystalline Zn4ReNi5 at its relaxed geometry, computed with PBE.

abc: 2.6652 2.6652 17.2454
angles: 90.00 90.00 90.00
Closest atoms and distances in Å follow each position.
Element x y z (fractional)
Zn  0.0000  0.0000  0.2057  8 Ni 2.53-2.57, 4 Zn 2.67
Zn  0.0000  0.0000  0.4017  8 Ni 2.53-2.54, 4 Zn 2.67
Zn  0.0000  0.0000  0.5983  8 Ni 2.53-2.54, 4 Zn 2.67
Zn  0.0000  0.0000  0.7943  8 Ni 2.53-2.57, 4 Zn 2.67
Re  0.0000  0.0000  0.0000  8 Ni 2.61, 4 Re 2.67
Ni  0.5000  0.5000  0.1043  4 Zn 2.57, 4 Re 2.61, 4 Ni 2.67
Ni  0.5000  0.5000  0.3035  8 Zn 2.53, 4 Ni 2.67
Ni  0.5000  0.5000  0.5000  8 Zn 2.54, 4 Ni 2.67
Ni  0.5000  0.5000  0.6965  8 Zn 2.53, 4 Ni 2.67
Ni  0.5000  0.5000  0.8957  4 Zn 2.57, 4 Re 2.61, 4 Ni 2.67

Entry 4:
Crystalline Zn2ReNi at its relaxed geometry, computed with PBE.

abc: 4.6294 4.6294 4.7551
angles: 79.95 79.95 32.76
Closest atoms and distances in Å follow each position.
Element x y z (fractional)
Ni  0.4988  0.4988  0.4795  3 Re 2.58-2.64, 2 Ni 2.61, 7 Zn 2.65-2.85
Re  0.2434  0.2434  0.2696  3 Ni 2.58-2.64, 2 Re 2.61, 7 Zn 2.69-2.75
Zn  0.0005  0.0005  0.9923  5 Zn 2.60-2.69, 4 Ni 2.66-2.77, 3 Re 2.73-2.75
Zn  0.7573  0.7573  0.7586  5 Zn 2.60-2.69, 3 Ni 2.65-2.85, 4 Re 2.69-2.74

Entry 5:
Crystalline ZnReNi2 at its relaxed geometry, computed with PBE.

abc: 3.7164 2.6011 5.8410
angles: 63.70 90.00 90.00
Closest atoms and distances in Å follow each position.
Element x y z (fractional)
Ni  0.0000  0.9898  0.0095  4 Ni 2.52-2.72, 4 Re 2.59-2.60, 4 Zn 2.64-2.65
Ni  0.0000  0.5102  0.4905  4 Ni 2.52-2.72, 4 Re 2.59-2.60, 4 Zn 2.64-2.65
Re  0.5000  0.2500  0.2500  8 Ni 2.59-2.60, 2 Re 2.60, 2 Zn 2.62
Zn  0.5000  0.7500  0.7500  2 Zn 2.60, 2 Re 2.62, 8 Ni 2.64-2.65

Entry 6:
Crystalline ZnReNi2 at its relaxed geometry, computed with PBE.

abc: 5.0930 5.0930 5.0930
angles: 150.06 129.00 60.27
Closest atoms and distances in Å follow each position.
Element x y z (fractional)
Ni  0.9928  0.9928  0.0000  4 Ni 2.46-2.63, 2 Zn 2.54, 4 Re 2.56
Ni  0.7564  0.2564  0.5000  4 Ni 2.46-2.63, 2 Re 2.52, 4 Zn 2.56
Re  0.5119  0.5119  0.0000  6 Ni 2.52-2.56, 2 Re 2.63, 2 Zn 2.74
Zn  0.2390  0.7390  0.5000  6 Ni 2.54-2.56, 2 Zn 2.63, 2 Re 2.74

Entry 7:
Crystalline Zn2ReNi at its relaxed geometry, computed with PBE.

abc: 5.2213 5.2213 5.2213
angles: 150.30 128.99 60.14
Closest atoms and distances in Å follow each position.
Element x y z (fractional)
Ni  0.5025  0.5025  0.0000  6 Zn 2.51-2.62, 2 Re 2.55, 2 Ni 2.68
Re  0.2624  0.7624  0.5000  2 Ni 2.55, 6 Zn 2.63-2.75, 2 Re 2.68
Zn  0.9971  0.9971  0.0000  4 Ni 2.62, 4 Zn 2.68-2.70, 2 Re 2.75
Zn  0.7380  0.2380  0.5000  2 Ni 2.51, 4 Re 2.63, 4 Zn 2.68-2.70

Entry 8:
Crystalline Zn2ReNi at its relaxed geometry, computed with PBE.

abc: 2.6431 2.6431 7.8043
angles: 90.00 90.00 89.98
Closest atoms and distances in Å follow each position.
Element x y z (fractional)
Ni  0.0000  0.0000  0.5021  4 Re 2.58, 4 Zn 2.60, 4 Ni 2.64
Re  0.5000  0.5000  0.7304  4 Ni 2.58, 4 Re 2.64, 4 Zn 2.80
Zn  0.0000  0.0000  0.9976  8 Zn 2.64-2.83, 4 Re 2.80
Zn  0.5000  0.5000  0.2700  4 Ni 2.60, 8 Zn 2.64-2.83

| no. | E_tot (eV for the cell shown) |
| --- | --- |
| 1 | -72.14 |
| 2 | -24.85 |
| 3 | -48.32 |
| 4 | -20.26 |
| 5 | -25.30 |
| 6 | -24.87 |
| 7 | -20.11 |
| 8 | -20.71 |